RbNa: relaxed, PBE-GGA.

Results
- crystal system = tetragonal
- M_tot (Bohr magnetons per cell) = 0.0
- uncorrected energy (eV/atom) = -1.0937
- D(E_F) (states/eV per cell) = 13.009
- calculated formation energy (meV/atom) = 50

Cell: 14.9404 14.9404 4.4503 Å, 90.00 90.00 90.00°
Element x y z (fractional)
Rb 0.1350 0.8311 0.0000
Rb 0.1689 0.1350 0.0000
Rb 0.3311 0.3650 0.5000
Rb 0.3650 0.6689 0.5000
Rb 0.6350 0.3311 0.5000
Rb 0.6689 0.6350 0.5000
Rb 0.8311 0.8650 0.0000
Rb 0.8650 0.1689 0.0000
Na 0.0350 0.3650 0.5000
Na 0.1350 0.5350 0.0000
Na 0.3650 0.9650 0.5000
Na 0.4650 0.1350 0.0000
Na 0.5350 0.8650 0.0000
Na 0.6350 0.0350 0.5000
Na 0.8650 0.4650 0.0000
Na 0.9650 0.6350 0.5000